Entry 1:
Density functional theory data (PBE-GGA) for Mg4AgIr after structural relaxation.

a = 7.7791 Å, b = 4.4976 Å, c = 7.9110 Å
α = 90.00°, β = 109.03°, γ = 90.00°
Space group C2/m (No. 12)
One atom of each set of equivalent atoms:
Mg 0.1166 0.0000 0.3502 x4
Mg 0.1328 0.5000 0.8985 x4
Ag 0.0000 0.5000 0.5000 x2
Ir 0.0000 0.0000 0.0000 x2

Output
Total magnetic moment = 0.0 μB/f.u.
E above lowest polymorph = 124 meV/atom
DOS at the Fermi energy = 0.51 states/eV/atom

Entry 2:
Density functional theory data (PBE-GGA) for RbMg2Os2 after structural relaxation.

a = 8.5505 Å, b = 8.5505 Å, c = 2.8526 Å
α = 90.00°, β = 90.00°, γ = 90.00°
Space group P4/mbm (No. 127)
One atom of each set of equivalent atoms:
Rb 0.0000 0.0000 0.0000 x2
Mg 0.1807 0.3193 0.5000 x4
Os 0.0982 0.5982 0.0000 x4

Output
Total magnetic moment = 0.5 μB/f.u.
E above lowest polymorph = 0 meV/atom
DOS at the Fermi energy = 0.98 states/eV/atom

Entry 3:
Density functional theory data (PBE-GGA) for Zr5In6 after structural relaxation.

a = 4.8726 Å, b = 7.3909 Å, c = 14.0798 Å
α = 90.00°, β = 90.00°, γ = 90.00°
Space group Immm (No. 71)
One atom of each set of equivalent atoms:
Zr 0.0000 0.0000 0.0000 x2
Zr 0.0000 0.0000 0.2958 x4
Zr 0.0000 0.5000 0.3525 x4
In 0.0000 0.1975 0.5000 x4
In 0.0000 0.2877 0.1484 x8

Output
Total magnetic moment = 0.0 μB/f.u.
DFT total energy = -123.2 eV for the cell shown
DOS at the Fermi energy = 0.50 states/eV/atom

Entry 4:
Density functional theory data (PBE-GGA) for NaThSn2Se4 after structural relaxation.

a = 7.3677 Å, b = 4.2313 Å, c = 7.5544 Å
α = 90.00°, β = 107.74°, γ = 90.00°
Space group P2/m (No. 10)
One atom of each set of equivalent atoms:
Na 0.0000 0.0000 0.0000 x1
Th 0.5000 0.5000 0.0000 x1
Sn 0.0000 0.5000 0.5000 x1
Sn 0.5000 0.0000 0.5000 x1
Se 0.2599 0.0000 0.7589 x2
Se 0.2611 0.5000 0.2467 x2

Output
Formation energy (no corrections) = -7.12 eV per formula unit
Total magnetic moment = 0.0 μB/f.u.
DOS at the Fermi energy = 0.43 states/eV/atom

Entry 5:
Density functional theory data (PBE-GGA) for RbMnCr2 after structural relaxation.

a = 5.8340 Å, b = 5.8340 Å, c = 15.5913 Å
α = 90.00°, β = 90.00°, γ = 90.00°
Space group I4_1/amd (No. 141, origin choice 2)
One atom of each set of equivalent atoms:
Rb 0.0000 0.2500 0.3750 x4
Mn 0.0000 0.2500 0.8750 x4
Cr 0.0000 0.0000 0.0000 x8

Output
Total magnetic moment = 5.4 μB/f.u.
E above lowest polymorph = 0 meV/atom
DOS at the Fermi energy = 1.20 states/eV/atom

Entry 6:
Density functional theory data (PBE-GGA) for LaHgSCl2 after structural relaxation.

a = 5.5298 Å, b = 5.5298 Å, c = 5.7366 Å
α = 90.00°, β = 90.00°, γ = 90.00°
Space group P4/mmm (No. 123)
One atom of each set of equivalent atoms:
La 0.0000 0.0000 0.0000 x1
Hg 0.5000 0.5000 0.5000 x1
S 0.0000 0.0000 0.5000 x1
Cl 0.0000 0.5000 0.0000 x2

Output
Formation energy (no corrections) = -6.47 eV per formula unit
Total magnetic moment = 0.0 μB/f.u.
E above lowest polymorph = 0 meV/atom
DOS at the Fermi energy = 0.66 states/eV/atom

Entry 7:
Density functional theory data (PBE-GGA) for YHfZr2Cu after structural relaxation.

a = 5.1471 Å, b = 5.1471 Å, c = 5.5706 Å
α = 90.00°, β = 90.00°, γ = 90.00°
Space group P4/mmm (No. 123)
One atom of each set of equivalent atoms:
Y 0.0000 0.0000 0.0000 x1
Hf 0.0000 0.0000 0.5000 x1
Zr 0.0000 0.5000 0.5000 x2
Cu 0.5000 0.5000 0.0000 x1

Output
Total magnetic moment = 0.0 μB/f.u.
DFT total energy = -31.6 eV for the cell shown
DOS at the Fermi energy = 1.17 states/eV/atom

Entry 8:
Density functional theory data (PBE-GGA) for SrBe2Se after structural relaxation.

a = 3.5258 Å, b = 3.5258 Å, c = 6.3780 Å
α = 90.00°, β = 90.00°, γ = 90.00°
Space group P4mm (No. 99)
One atom of each set of equivalent atoms:
Sr 0.0000 0.0000 0.0000 x1
Be 0.0000 0.0000 0.4530 x1
Be 0.5000 0.5000 0.3753 x1
Se 0.5000 0.5000 0.7171 x1

Output
Formation energy (no corrections) = 0.15 eV per formula unit
Total magnetic moment = 0.0 μB/f.u.
DOS at the Fermi energy = 0.32 states/eV/atom

Entry 9:
Density functional theory data (PBE-GGA) for Tb2PmScTl4 after structural relaxation.

a = 5.3373 Å, b = 5.3373 Å, c = 26.3380 Å
α = 90.00°, β = 90.00°, γ = 120.00°
Space group R-3m (No. 166, hexagonal axes)
One atom of each set of equivalent atoms:
Tb 0.0000 0.0000 0.2483 x6
Pm 0.0000 0.0000 0.0000 x3
Sc 0.0000 0.0000 0.5000 x3
Tl 0.0000 0.0000 0.1273 x6
Tl 0.0000 0.0000 0.3778 x6

Output
Total magnetic moment = 0.0 μB/f.u.
DFT total energy = -97.2 eV for the cell shown
DOS at the Fermi energy = 0.88 states/eV/atom

Entry 10:
Density functional theory data (PBE-GGA) for Rb5Hg2Te4 after structural relaxation.

a = 18.8654 Å, b = 5.6271 Å, c = 9.3925 Å
α = 90.00°, β = 92.35°, γ = 90.00°
Space group C2/m (No. 12)
One atom of each set of equivalent atoms:
Rb 0.0000 0.0000 0.0000 x2
Rb 0.1569 0.5000 0.9852 x4
Rb 0.1589 0.5000 0.5065 x4
Hg 0.0412 0.0000 0.6363 x4
Te 0.0105 0.5000 0.2612 x4
Te 0.1870 0.0000 0.7499 x4

Output
Formation energy (no corrections) = -7.65 eV per formula unit
Total magnetic moment = 0.0 μB/f.u.
DOS at the Fermi energy = 0.32 states/eV/atom

Entry 11:
Density functional theory data (PBE-GGA) for Na2TeP after structural relaxation.

a = 8.4888 Å, b = 8.4888 Å, c = 5.6329 Å
α = 90.00°, β = 90.00°, γ = 90.00°
Space group I-42d (No. 122)
One atom of each set of equivalent atoms:
Na 0.2057 0.2500 0.1250 x8
Te 0.0000 0.0000 0.5000 x4
P 0.0000 0.0000 0.0000 x4

Output
Formation energy (no corrections) = -0.63 eV per formula unit
Total magnetic moment = 0.0 μB/f.u.
E above lowest polymorph = 0 meV/atom
DOS at the Fermi energy = 0.88 states/eV/atom

Entry 12:
Density functional theory data (PBE-GGA) for As3P after structural relaxation.

a = 3.6795 Å, b = 5.4372 Å, c = 4.1583 Å
α = 90.00°, β = 90.00°, γ = 90.00°
Space group Pmm2 (No. 25)
One atom of each set of equivalent atoms:
As 0.0000 0.0000 0.0000 x1
As 0.0000 0.5000 0.1164 x1
As 0.5000 0.0000 0.5947 x1
P 0.5000 0.5000 0.4930 x1

Output
Total magnetic moment = 0.0 μB/f.u.
E above lowest polymorph = 5 meV/atom
DOS at the Fermi energy = 0.10 states/eV/atom